Density functional theory data (PBE-GGA) for a relaxed V2PtRh crystal.

Computed properties:
The volume is 56.0 Å³/f.u. As for the crystal system: orthorhombic. The total energy is -67.134 eV per cell.

Geometry as CIF:
```
data_V2PtRh
_cell_length_a 5.4406
_cell_length_b 7.5842
_cell_length_c 2.7150
_cell_angle_alpha 90.00
_cell_angle_beta 90.00
_cell_angle_gamma 90.00
_space_group_name_H-M_alt 'P 1'
_space_group_IT_number 1
loop_
_space_group_symop_operation_xyz
'x,y,z'
loop_
_atom_site_label
_atom_site_fract_x
_atom_site_fract_y
_atom_site_fract_z
V1 0.2500 0.2500 0.0000
V2 0.2500 0.7500 0.0000
V3 0.7500 0.2500 0.0000
V4 0.7500 0.7500 0.0000
Pt1 0.0000 0.0000 0.5000
Pt2 0.5000 0.5000 0.5000
Rh1 0.0000 0.5000 0.5000
Rh2 0.5000 0.0000 0.5000
```


Density functional theory data (PBE-GGA) for a relaxed V5Pt2Rh4 crystal.

Computed properties:
The volume is 156.6 Å³/f.u. As for the crystal system: orthorhombic. The total energy is -182.993 eV per cell.

Geometry as CIF:
```
data_V5Pt2Rh4
_cell_length_a 6.8031
_cell_length_b 16.6393
_cell_length_c 2.7671
_cell_angle_alpha 90.00
_cell_angle_beta 90.00
_cell_angle_gamma 90.00
_space_group_name_H-M_alt 'P 1'
_space_group_IT_number 1
loop_
_space_group_symop_operation_xyz
'x,y,z'
loop_
_atom_site_label
_atom_site_fract_x
_atom_site_fract_y
_atom_site_fract_z
V1 0.0000 0.0000 0.0000
V2 0.1772 0.4310 0.0000
V3 0.2442 0.6962 0.0000
V4 0.2558 0.1962 0.0000
V5 0.3228 0.9310 0.0000
V6 0.5000 0.5000 0.0000
V7 0.6772 0.0690 0.0000
V8 0.7442 0.8038 0.0000
V9 0.7558 0.3038 0.0000
V10 0.8228 0.5690 0.0000
Pt1 0.0743 0.3037 0.5000
Pt2 0.4257 0.8037 0.5000
Pt3 0.5743 0.1963 0.5000
Pt4 0.9257 0.6963 0.5000
Rh1 0.0424 0.8616 0.5000
Rh2 0.1689 0.5598 0.5000
Rh3 0.3311 0.0598 0.5000
Rh4 0.4576 0.3616 0.5000
Rh5 0.5424 0.6384 0.5000
Rh6 0.6689 0.9402 0.5000
Rh7 0.8311 0.4402 0.5000
Rh8 0.9576 0.1384 0.5000
```


Density functional theory data (PBE-GGA) for a relaxed VPtRh crystal.

Computed properties:
The volume is 43.0 Å³/f.u. As for the crystal system: monoclinic. The total energy is -95.447 eV per cell.

Geometry as CIF:
```
data_VPtRh
_cell_length_a 4.6314
_cell_length_b 8.4098
_cell_length_c 4.6326
_cell_angle_alpha 90.00
_cell_angle_beta 107.75
_cell_angle_gamma 90.00
_space_group_name_H-M_alt 'P 1'
_space_group_IT_number 1
loop_
_space_group_symop_operation_xyz
'x,y,z'
loop_
_atom_site_label
_atom_site_fract_x
_atom_site_fract_y
_atom_site_fract_z
V1 0.0000 0.2502 0.2500
V2 0.0000 0.7498 0.7500
V3 0.5000 0.2498 0.7500
V4 0.5000 0.7502 0.2500
Pt1 0.0000 0.0894 0.7500
Pt2 0.0000 0.9106 0.2500
Pt3 0.5000 0.4106 0.2500
Pt4 0.5000 0.5894 0.7500
Rh1 0.0000 0.4101 0.7500
Rh2 0.0000 0.5899 0.2500
Rh3 0.5000 0.0899 0.2500
Rh4 0.5000 0.9101 0.7500
```


Density functional theory data (PBE-GGA) for a relaxed VPtRh crystal.

Computed properties:
The volume is 43.1 Å³/f.u. As for the crystal system: monoclinic. The total energy is -94.985 eV per cell.

Geometry as CIF:
```
data_VPtRh
_cell_length_a 8.7218
_cell_length_b 3.8385
_cell_length_c 5.4943
_cell_angle_alpha 90.00
_cell_angle_beta 110.43
_cell_angle_gamma 90.00
_space_group_name_H-M_alt 'P 1'
_space_group_IT_number 1
loop_
_space_group_symop_operation_xyz
'x,y,z'
loop_
_atom_site_label
_atom_site_fract_x
_atom_site_fract_y
_atom_site_fract_z
V1 0.0000 0.0000 0.0000
V2 0.1717 0.5000 0.8008
V3 0.5000 0.5000 0.0000
V4 0.6717 0.0000 0.8008
Pt1 0.1665 0.5000 0.3133
Pt2 0.3279 0.0000 0.1402
Pt3 0.6665 0.0000 0.3133
Pt4 0.8279 0.5000 0.1402
Rh1 0.0151 0.0000 0.5180
Rh2 0.3488 0.0000 0.6766
Rh3 0.5151 0.5000 0.5180
Rh4 0.8488 0.5000 0.6766
```


Density functional theory data (PBE-GGA) for a relaxed V3Pt5Rh3 crystal.

Computed properties:
The volume is 175.2 Å³/f.u. As for the crystal system: hexagonal. The total energy is -79.926 eV per cell.

Geometry as CIF:
```
data_V3Pt5Rh3
_cell_length_a 8.5194
_cell_length_b 8.5194
_cell_length_c 2.7878
_cell_angle_alpha 90.00
_cell_angle_beta 90.00
_cell_angle_gamma 120.00
_space_group_name_H-M_alt 'P 1'
_space_group_IT_number 1
loop_
_space_group_symop_operation_xyz
'x,y,z'
loop_
_atom_site_label
_atom_site_fract_x
_atom_site_fract_y
_atom_site_fract_z
V1 0.0000 0.5943 0.0000
V2 0.4057 0.4057 0.0000
V3 0.5943 0.0000 0.0000
Pt1 0.0000 0.3520 0.5000
Pt2 0.3333 0.6667 0.5000
Pt3 0.3520 0.0000 0.5000
Pt4 0.6480 0.6480 0.5000
Pt5 0.6667 0.3333 0.5000
Rh1 0.0000 0.8226 0.5000
Rh2 0.1774 0.1774 0.5000
Rh3 0.8226 0.0000 0.5000
```


Density functional theory data (PBE-GGA) for a relaxed VPt3Rh4 crystal.

Computed properties:
The volume is 116.3 Å³/f.u. As for the crystal system: tetragonal. The total energy is -117.718 eV per cell.

Geometry as CIF:
```
data_VPt3Rh4
_cell_length_a 3.8722
_cell_length_b 3.8722
_cell_length_c 15.5106
_cell_angle_alpha 90.00
_cell_angle_beta 90.00
_cell_angle_gamma 90.00
_space_group_name_H-M_alt 'P 1'
_space_group_IT_number 1
loop_
_space_group_symop_operation_xyz
'x,y,z'
loop_
_atom_site_label
_atom_site_fract_x
_atom_site_fract_y
_atom_site_fract_z
V1 0.0000 0.0000 0.0000
V2 0.5000 0.5000 0.5000
Pt1 0.0000 0.0000 0.2542
Pt2 0.0000 0.0000 0.5000
Pt3 0.0000 0.0000 0.7458
Pt4 0.5000 0.5000 0.0000
Pt5 0.5000 0.5000 0.2458
Pt6 0.5000 0.5000 0.7542
Rh1 0.0000 0.5000 0.1188
Rh2 0.0000 0.5000 0.3812
Rh3 0.0000 0.5000 0.6188
Rh4 0.0000 0.5000 0.8812
Rh5 0.5000 0.0000 0.1188
Rh6 0.5000 0.0000 0.3812
Rh7 0.5000 0.0000 0.6188
Rh8 0.5000 0.0000 0.8812
```


Density functional theory data (PBE-GGA) for a relaxed VPt2Rh4 crystal.

Computed properties:
The volume is 106.1 Å³/f.u. As for the crystal system: orthorhombic. The total energy is -101.912 eV per cell.

Geometry as CIF:
```
data_VPt2Rh4
_cell_length_a 6.4618
_cell_length_b 6.4618
_cell_length_c 12.1879
_cell_angle_alpha 90.00
_cell_angle_beta 90.00
_cell_angle_gamma 155.35
_space_group_name_H-M_alt 'P 1'
_space_group_IT_number 1
loop_
_space_group_symop_operation_xyz
'x,y,z'
loop_
_atom_site_label
_atom_site_fract_x
_atom_site_fract_y
_atom_site_fract_z
V1 0.1940 0.8060 0.7500
V2 0.8060 0.1940 0.2500
Pt1 0.3634 0.6366 0.6370
Pt2 0.3634 0.6366 0.8630
Pt3 0.6366 0.3634 0.1370
Pt4 0.6366 0.3634 0.3630
Rh1 0.0000 0.0000 0.0000
Rh2 0.0000 0.0000 0.5000
Rh3 0.3231 0.6769 0.0776
Rh4 0.3231 0.6769 0.4224
Rh5 0.4613 0.5387 0.2500
Rh6 0.5387 0.4613 0.7500
Rh7 0.6769 0.3231 0.5776
Rh8 0.6769 0.3231 0.9224
```


Density functional theory data (PBE-GGA) for a relaxed VPt4Rh crystal.

Computed properties:
The volume is 90.5 Å³/f.u. As for the crystal system: orthorhombic. The total energy is -84.619 eV per cell.

Geometry as CIF:
```
data_VPt4Rh
_cell_length_a 7.9317
_cell_length_b 7.9317
_cell_length_c 8.4087
_cell_angle_alpha 90.00
_cell_angle_beta 90.00
_cell_angle_gamma 159.99
_space_group_name_H-M_alt 'P 1'
_space_group_IT_number 1
loop_
_space_group_symop_operation_xyz
'x,y,z'
loop_
_atom_site_label
_atom_site_fract_x
_atom_site_fract_y
_atom_site_fract_z
V1 0.2491 0.7509 0.7500
V2 0.7509 0.2491 0.2500
Pt1 0.0000 0.0000 0.0000
Pt2 0.0000 0.0000 0.5000
Pt3 0.1735 0.8265 0.0288
Pt4 0.1735 0.8265 0.4712
Pt5 0.3952 0.6048 0.2500
Pt6 0.6048 0.3952 0.7500
Pt7 0.8265 0.1735 0.5288
Pt8 0.8265 0.1735 0.9712
Rh1 0.4216 0.5784 0.7500
Rh2 0.5784 0.4216 0.2500
```


Density functional theory data (PBE-GGA) for a relaxed V4Pt3Rh crystal.

Computed properties:
The volume is 113.9 Å³/f.u. As for the crystal system: orthorhombic. The total energy is -130.449 eV per cell.

Geometry as CIF:
```
data_V4Pt3Rh
_cell_length_a 7.6530
_cell_length_b 5.4500
_cell_length_c 5.4597
_cell_angle_alpha 90.00
_cell_angle_beta 90.00
_cell_angle_gamma 90.00
_space_group_name_H-M_alt 'P 1'
_space_group_IT_number 1
loop_
_space_group_symop_operation_xyz
'x,y,z'
loop_
_atom_site_label
_atom_site_fract_x
_atom_site_fract_y
_atom_site_fract_z
V1 0.0000 0.0054 0.0000
V2 0.0000 0.5058 0.0065
V3 0.2500 0.2456 0.7537
V4 0.2500 0.7544 0.2537
V5 0.5000 0.4942 0.5065
V6 0.5000 0.9946 0.5000
V7 0.7500 0.2456 0.7537
V8 0.7500 0.7544 0.2537
Pt1 0.0000 0.4988 0.5046
Pt2 0.2499 0.2485 0.2535
Pt3 0.2501 0.7515 0.7535
Pt4 0.5000 0.5012 0.0046
Pt5 0.7501 0.2485 0.2535
Pt6 0.7499 0.7515 0.7535
Rh1 0.0000 0.9988 0.5024
Rh2 0.5000 0.0012 0.0024
```


Density functional theory data (PBE-GGA) for a relaxed VPt6Rh3 crystal.

Computed properties:
The volume is 149.6 Å³/f.u. As for the crystal system: monoclinic. The total energy is -138.722 eV per cell.

Geometry as CIF:
```
data_VPt6Rh3
_cell_length_a 8.7215
_cell_length_b 3.9082
_cell_length_c 8.7798
_cell_angle_alpha 90.00
_cell_angle_beta 90.35
_cell_angle_gamma 90.00
_space_group_name_H-M_alt 'P 1'
_space_group_IT_number 1
loop_
_space_group_symop_operation_xyz
'x,y,z'
loop_
_atom_site_label
_atom_site_fract_x
_atom_site_fract_y
_atom_site_fract_z
V1 0.0561 0.2500 0.3877
V2 0.9439 0.7500 0.6123
Pt1 0.0510 0.7500 0.8959
Pt2 0.1393 0.2500 0.6882
Pt3 0.1506 0.7500 0.2053
Pt4 0.2366 0.7500 0.5025
Pt5 0.3481 0.2500 0.3078
Pt6 0.4491 0.7500 0.0994
Pt7 0.5509 0.2500 0.9006
Pt8 0.6520 0.7500 0.6922
Pt9 0.7634 0.2500 0.4975
Pt10 0.8494 0.2500 0.7947
Pt11 0.8607 0.7500 0.3118
Pt12 0.9490 0.2500 0.1041
Rh1 0.2522 0.2500 0.9946
Rh2 0.3509 0.7500 0.7991
Rh3 0.4511 0.2500 0.6038
Rh4 0.5489 0.7500 0.3962
Rh5 0.6491 0.2500 0.2009
Rh6 0.7478 0.7500 0.0054
```